(1)
CaTa2Bi2O9: optimized geometry, PBE. Values from VASP.

Summary:
The space group is I4/mmm (139). The raw formation energy comes out at -24.1 eV/f.u. The value obtained for the density of states at the Fermi level is 0.323 states/eV per atom. The value obtained for the magnetization is 0.00 μB/atom. The calculation puts the distance to the lowest polymorph of the same formula at 680.2 meV per atom. As for the crystal system: tetragonal.

Structure (Quantum ESPRESSO input):
```
&SYSTEM
  ibrav = 0, nat = 14, ntyp = 4
/
ATOMIC_SPECIES
Ca 40.08 Ca.upf
Ta 180.95 Ta.upf
Bi 208.98 Bi.upf
O 16.00 O.upf
CELL_PARAMETERS angstrom
-1.8925 1.8925 13.1874
1.8925 -1.8925 13.1874
1.8925 1.8925 -13.1874
ATOMIC_POSITIONS crystal
Ca 0.0000 0.0000 0.0000
Ta 0.4203 0.4203 0.0000
Ta 0.5797 0.5797 0.0000
Bi 0.3000 0.3000 0.0000
Bi 0.7000 0.7000 0.0000
O 0.0654 0.5654 0.5000
O 0.1558 0.1558 0.0000
O 0.2500 0.7500 0.5000
O 0.4346 0.9346 0.5000
O 0.5000 0.5000 0.0000
O 0.5654 0.0654 0.5000
O 0.7500 0.2500 0.5000
O 0.8442 0.8442 0.0000
O 0.9346 0.4346 0.5000
```

(2)
CaTa2Bi2O9: optimized geometry, PBE. Values from VASP.

Summary:
The space group is Cmc2_1 (36). The raw formation energy comes out at -33.6 eV/f.u. The value obtained for the density of states at the Fermi level is 0.000 states/eV per atom. The value obtained for the magnetization is 0.00 μB/atom. The calculation puts the distance to the lowest polymorph of the same formula at 0.0 meV per atom. As for the crystal system: orthorhombic.

Structure (Quantum ESPRESSO input):
```
&SYSTEM
  ibrav = 0, nat = 28, ntyp = 4
/
ATOMIC_SPECIES
Ca 40.08 Ca.upf
Ta 180.95 Ta.upf
Bi 208.98 Bi.upf
O 16.00 O.upf
CELL_PARAMETERS angstrom
12.6957 -2.7473 0.0000
12.6957 2.7473 0.0000
0.0000 0.0000 5.5621
ATOMIC_POSITIONS crystal
Ca 0.2440 0.7560 0.5000
Ca 0.7560 0.2440 0.0000
Ta 0.1715 0.6665 0.0339
Ta 0.3335 0.8285 0.0339
Ta 0.6665 0.1715 0.5339
Ta 0.8285 0.3335 0.5339
Bi 0.0213 0.5801 0.4412
Bi 0.4199 0.9787 0.4412
Bi 0.5801 0.0213 0.9412
Bi 0.9787 0.4199 0.9412
O 0.0140 0.6793 0.0486
O 0.0250 0.0966 0.2687
O 0.0966 0.0250 0.7687
O 0.2377 0.2635 0.2184
O 0.2635 0.2377 0.7184
O 0.3207 0.9860 0.0486
O 0.3300 0.6700 0.0727
O 0.3652 0.4623 0.3459
O 0.4623 0.3652 0.8459
O 0.5377 0.6348 0.3459
O 0.6348 0.5377 0.8459
O 0.6700 0.3300 0.5727
O 0.6793 0.0140 0.5486
O 0.7365 0.7623 0.2184
O 0.7623 0.7365 0.7184
O 0.9034 0.9750 0.2687
O 0.9750 0.9034 0.7687
O 0.9860 0.3207 0.5486
```

(3)
Ca2TaBiO6: optimized geometry, PBE. Values from VASP.

Summary:
The space group is P2_1/m (11). The raw formation energy comes out at -25.2 eV/f.u. The value obtained for the density of states at the Fermi level is 0.000 states/eV per atom. The value obtained for the magnetization is 0.00 μB/atom. As for the crystal system: monoclinic.

Structure (Quantum ESPRESSO input):
```
&SYSTEM
  ibrav = 0, nat = 20, ntyp = 4
/
ATOMIC_SPECIES
Ca 40.08 Ca.upf
Ta 180.95 Ta.upf
Bi 208.98 Bi.upf
O 16.00 O.upf
CELL_PARAMETERS angstrom
5.7834 0.0000 0.0000
0.0000 8.1189 0.0000
-0.1075 0.0000 5.9745
ATOMIC_POSITIONS crystal
Ca 0.0009 0.2500 0.0520
Ca 0.4921 0.7500 0.4471
Ca 0.5079 0.2500 0.5529
Ca 0.9991 0.7500 0.9480
Ta 0.5000 0.0000 0.0000
Ta 0.5000 0.5000 0.0000
Bi 0.0000 0.0000 0.5000
Bi 0.0000 0.5000 0.5000
O 0.1434 0.2500 0.4218
O 0.2110 0.5580 0.1604
O 0.2110 0.9420 0.1604
O 0.3443 0.5559 0.7108
O 0.3443 0.9441 0.7108
O 0.3992 0.2500 0.9546
O 0.6008 0.7500 0.0454
O 0.6557 0.0559 0.2892
O 0.6557 0.4441 0.2892
O 0.7890 0.0580 0.8396
O 0.7890 0.4420 0.8396
O 0.8566 0.7500 0.5782
```

(4)
CaTaBi2O6: optimized geometry, PBE. Values from VASP.

Summary:
The space group is R3 (146). The raw formation energy comes out at -20.4 eV/f.u. The value obtained for the density of states at the Fermi level is 0.201 states/eV per atom. The value obtained for the magnetization is 0.00 μB/atom. As for the crystal system: trigonal.

Structure (Quantum ESPRESSO input):
```
&SYSTEM
  ibrav = 0, nat = 10, ntyp = 4
/
ATOMIC_SPECIES
Ca 40.08 Ca.upf
Ta 180.95 Ta.upf
Bi 208.98 Bi.upf
O 16.00 O.upf
CELL_PARAMETERS angstrom
3.0238 1.7458 4.6755
-3.0238 1.7458 4.6755
0.0000 -3.4915 4.6755
ATOMIC_POSITIONS crystal
Ca 0.0000 0.0000 0.0000
Ta 0.4865 0.4865 0.4865
Bi 0.2490 0.2490 0.2490
Bi 0.7135 0.7135 0.7135
O 0.1701 0.7432 0.3741
O 0.3192 0.6249 0.8367
O 0.3741 0.1701 0.7432
O 0.6249 0.8367 0.3192
O 0.7432 0.3741 0.1701
O 0.8367 0.3192 0.6249
```